DFT (GGA-PBE) results for Ta2OsAu after structural relaxation.

POSCAR file:
```
Ta2OsAu
1.0
4.7150 -1.4831 0.0000
4.7150 1.4831 0.0000
-0.9122 0.0000 4.8575
Ta Os Au
2 1 1
Cartesian
2.1206 0.0000 1.1936
6.3972 0.0000 3.6639
4.7150 0.0000 0.0000
-0.4561 0.0000 2.4287
```

Output
E_tot = -9.403 eV per atom
polymorph energy (0 for the lowest one) = 293 meV/atom
energy of formation from the pure elements = 0.15 eV per atom
SG = No. 12